(1)
Here is a relaxed MgZrAu2 crystal from OQMD. Energies are from GGA-PBE.

POSCAR file:
```
MgZrAu2
1.0
0.000 3.312 3.312
3.312 0.000 3.312
3.312 3.312 0.000
Au Zr Mg
2 1 1
direct
0.750 0.750 0.750 Au
0.000 0.000 0.000 Au
0.250 0.250 0.250 Zr
0.500 0.500 0.500 Mg
```

Output
Spin magnetization: 0.0001 μB per atom
Raw total energy: -4.55 eV/atom
Space group: F-43m


(2)
Here is a relaxed Nd2HoMg3CuHg2 crystal from OQMD. Energies are from GGA-PBE.

POSCAR file:
```
Nd2HoMg3CuHg2
1.0
4.220 0.000 0.000
0.000 6.766 3.923
0.000 -6.766 3.923
Mg Cu Nd Hg Ho
3 1 2 2 1
direct
0.500 0.765 0.765 Mg
0.500 0.235 0.003 Mg
0.500 0.003 0.235 Mg
0.000 0.005 0.005 Cu
0.000 0.597 0.000 Nd
0.000 0.000 0.597 Nd
0.500 0.659 0.336 Hg
0.500 0.336 0.659 Hg
0.000 0.401 0.401 Ho
```

Output
Spin magnetization: 0.0030 μB per atom
Raw total energy: -2.89 eV/atom
Space group: Amm2


(3)
Here is a relaxed CsTb2CuTe3S crystal from OQMD. Energies are from GGA-PBE.

POSCAR file:
```
CsTb2CuTe3S
1.0
2.156 -7.696 0.000
2.156 7.696 0.000
0.000 0.000 15.051
Te Cu S Cs Tb
6 2 2 2 4
direct
0.000 0.000 0.000 Te
0.733 0.267 0.612 Te
0.733 0.267 0.888 Te
0.267 0.733 0.388 Te
0.000 0.000 0.500 Te
0.267 0.733 0.112 Te
0.839 0.161 0.750 Cu
0.161 0.839 0.250 Cu
0.587 0.413 0.250 S
0.413 0.587 0.750 S
0.911 0.089 0.250 Cs
0.089 0.911 0.750 Cs
0.634 0.366 0.424 Tb
0.366 0.634 0.576 Tb
0.366 0.634 0.924 Tb
0.634 0.366 0.076 Tb
```

Output
Spin magnetization: 0.0000 μB per atom
Distance to the lowest polymorph of the same formula: 0 meV/atom
Space group: Cmcm


- What is the spin magnetization in the second record?
  0.0030 μB per atom


- Number 1 is which compound?
  MgZrAu2


What did the third record say?
Here is a relaxed CsTb2CuTe3S crystal from OQMD. Energies are from GGA-PBE.

POSCAR file:
```
CsTb2CuTe3S
1.0
2.156 -7.696 0.000
2.156 7.696 0.000
0.000 0.000 15.051
Te Cu S Cs Tb
6 2 2 2 4
direct
0.000 0.000 0.000 Te
0.733 0.267 0.612 Te
0.733 0.267 0.888 Te
0.267 0.733 0.388 Te
0.000 0.000 0.500 Te
0.267 0.733 0.112 Te
0.839 0.161 0.750 Cu
0.161 0.839 0.250 Cu
0.587 0.413 0.250 S
0.413 0.587 0.750 S
0.911 0.089 0.250 Cs
0.089 0.911 0.750 Cs
0.634 0.366 0.424 Tb
0.366 0.634 0.576 Tb
0.366 0.634 0.924 Tb
0.634 0.366 0.076 Tb
```

Output
Spin magnetization: 0.0000 μB per atom
Distance to the lowest polymorph of the same formula: 0 meV/atom
Space group: Cmcm


- Among the records above, which one has the lowest spin magnetization?
  CsTb2CuTe3S